{"formula": "ZnAuSN2", "functional": "PBE-GGA", "state": "relaxed", "raw_formation_energy_ev_per_atom": 1.5436, "e_tot_ev_per_cell": -17.6, "relative_energy_mev_per_atom": 0, "vol_a3_per_cell": 82.5, "lattice": [[-2.897, 2.448, -0.219], [-0.522, -0.944, -3.643], [-3.613, -4.135, 1.589]], "species": ["Zn", "Au", "S", "N", "N"], "frac_coords": [[0.000, 0.000, 0.000], [0.500, 0.500, 0.500], [0.000, 0.000, 0.500], [0.000, 0.500, 0.000], [0.500, 0.000, 0.000]]}

{"formula": "Rb3PrSc2Te6", "functional": "PBE-GGA", "state": "relaxed", "raw_formation_energy_ev_per_atom": -1.2834, "e_tot_ev_per_cell": -54.6, "vol_a3_per_cell": 440.3, "lattice": [[-4.214, -2.272, 6.062], [7.460, 1.773, 0.928], [-3.209, 8.272, -0.780]], "species": ["Rb", "Rb", "Rb", "Pr", "Sc", "Sc", "Te", "Te", "Te", "Te", "Te", "Te"], "frac_coords": [[0.161, 0.839, 0.500], [0.839, 0.161, 0.500], [0.500, 0.500, 0.500], [0.000, 0.000, 0.000], [0.333, 0.667, 0.000], [0.667, 0.333, 0.000], [0.935, 0.581, 0.805], [0.710, 0.710, 0.193], [0.065, 0.419, 0.195], [0.581, 0.935, 0.805], [0.290, 0.290, 0.807], [0.419, 0.065, 0.195]]}

{"formula": "CsAl2CuBr", "functional": "PBE-GGA", "state": "relaxed", "raw_formation_energy_ev_per_atom": -0.1266, "e_tot_ev_per_cell": -14.7, "vol_a3_per_cell": 164.7, "lattice": [[4.750, 0.000, 0.000], [0.000, 7.301, 0.000], [0.000, 0.000, 4.750]], "species": ["Cs", "Cu", "Br", "Al", "Al"], "frac_coords": [[0.500, 0.500, 0.500], [0.000, 0.000, 0.000], [0.000, 0.500, 0.000], [0.000, 0.000, 0.500], [0.500, 0.000, 0.000]]}